# Tm3CdPb12 PBE relaxed
# Fermi-level density of states = 8.62 states/eV/cell
# Space-group type = P4/mmm
# E = -3.826 eV per atom
# E_form = -0.149 eV/atom
data_Tm3CdPb12
_chemical_formula_sum 'Tm3 Cd1 Pb12'
_symmetry_space_group_name_H-M 'P 1'
_symmetry_Int_Tables_number 1
_cell_length_a 4.8006
_cell_length_b 4.8006
_cell_length_c 20.1871
_cell_angle_alpha 90.00
_cell_angle_beta 90.00
_cell_angle_gamma 90.00
loop_
_symmetry_equiv_pos_as_xyz
'x,y,z'
loop_
_atom_site_label
_atom_site_type_symbol
_atom_site_fract_x
_atom_site_fract_y
_atom_site_fract_z
Tm1 Tm 0.0000 0.0000 0.0000
Tm2 Tm 0.0000 0.0000 0.2396
Tm3 Tm 0.0000 0.0000 0.7604
Cd1 Cd 0.0000 0.0000 0.5000
Pb1 Pb 0.0000 0.5000 0.1225
Pb2 Pb 0.0000 0.5000 0.3721
Pb3 Pb 0.0000 0.5000 0.6279
Pb4 Pb 0.0000 0.5000 0.8775
Pb5 Pb 0.5000 0.0000 0.1225
Pb6 Pb 0.5000 0.0000 0.3721
Pb7 Pb 0.5000 0.0000 0.6279
Pb8 Pb 0.5000 0.0000 0.8775
Pb9 Pb 0.5000 0.5000 0.0000
Pb10 Pb 0.5000 0.5000 0.2493
Pb11 Pb 0.5000 0.5000 0.5000
Pb12 Pb 0.5000 0.5000 0.7507